The following is a GGA-PBE calculation of a relaxed structure of MnCrMo2, from Alexandria via LeMat-Bulk.

Summary:
The value obtained for the energy of formation is 0.5 eV/f.u. For the calculated total energy, the calculation gives -40.0 eV per cell. The calculation puts the density at 8956 kg/m³.

a = 4.192 Å, b = 2.640 Å, c = 5.081 Å
α = 80.21°, β = 90.00°, γ = 90.00°
Fractional positions:
Cr 0.500 0.250 0.250
Mn 0.500 0.750 0.750
Mo 0.000 0.007 0.001
Mo 0.000 0.493 0.499


The following is a GGA-PBE calculation of a relaxed structure of MnCrMo2, from Alexandria via LeMat-Bulk.

Summary:
The value obtained for the energy of formation is 1.3 eV/f.u. For the calculated total energy, the calculation gives -39.1 eV per cell. The calculation puts the density at 8949 kg/m³.

a = 2.657 Å, b = 2.657 Å, c = 7.851 Å
α = 90.00°, β = 90.00°, γ = 90.00°
Fractional positions:
Cr 0.500 0.500 0.250
Mn 0.500 0.500 0.750
Mo 0.000 0.000 0.984
Mo 0.000 0.000 0.516


The following is a GGA-PBE calculation of a relaxed structure of MnCrMo, from Alexandria via LeMat-Bulk.

Summary:
The value obtained for the energy of formation is 0.4 eV/f.u. For the calculated total energy, the calculation gives -29.2 eV per cell. The calculation puts the density at 8571 kg/m³.

a = 6.515 Å, b = 6.350 Å, c = 2.592 Å
α = 81.97°, β = 74.83°, γ = 23.20°
Fractional positions:
Cr 0.992 0.992 0.008
Mn 0.341 0.341 0.659
Mo 0.667 0.667 0.333


The following is a GGA-PBE calculation of a relaxed structure of MnCrMo2, from Alexandria via LeMat-Bulk.

Summary:
The value obtained for the energy of formation is 0.4 eV/f.u. For the calculated total energy, the calculation gives -40.1 eV per cell. The calculation puts the density at 8966 kg/m³.

a = 2.647 Å, b = 2.647 Å, c = 8.327 Å
α = 90.00°, β = 90.00°, γ = 108.49°
Fractional positions:
Cr 0.000 0.000 0.515
Mn 0.500 0.500 0.735
Mo 0.000 0.000 0.986
Mo 0.500 0.500 0.263


The following is a GGA-PBE calculation of a relaxed structure of Mn2CrMo, from Alexandria via LeMat-Bulk.

Summary:
The value obtained for the energy of formation is 0.5 eV/f.u. For the calculated total energy, the calculation gives -38.3 eV per cell. The calculation puts the density at 8444 kg/m³.

a = 2.583 Å, b = 2.583 Å, c = 8.000 Å
α = 90.00°, β = 90.00°, γ = 108.15°
Fractional positions:
Cr 0.500 0.500 0.750
Mn 0.000 0.000 0.984
Mn 0.000 0.000 0.516
Mo 0.500 0.500 0.250


The following is a GGA-PBE calculation of a relaxed structure of MnCrMo2, from Alexandria via LeMat-Bulk.

Summary:
The value obtained for the energy of formation is 1.7 eV/f.u. For the calculated total energy, the calculation gives -38.8 eV per cell. The calculation puts the density at 8916 kg/m³.

a = 9.020 Å, b = 9.020 Å, c = 9.020 Å
α = 17.15°, β = 17.15°, γ = 17.15°
Fractional positions:
Cr 0.250 0.250 0.250
Mn 0.750 0.750 0.750
Mo 0.003 0.003 0.003
Mo 0.497 0.497 0.497


The following is a GGA-PBE calculation of a relaxed structure of MnCrMo2, from Alexandria via LeMat-Bulk.

Summary:
The value obtained for the energy of formation is 0.4 eV/f.u. For the calculated total energy, the calculation gives -40.1 eV per cell. The calculation puts the density at 9144 kg/m³.

a = 4.250 Å, b = 4.250 Å, c = 4.250 Å
α = 60.00°, β = 60.00°, γ = 60.00°
Fractional positions:
Cr 0.000 0.000 0.000
Mo 0.250 0.250 0.250
Mo 0.750 0.750 0.750
Mn 0.500 0.500 0.500


The following is a GGA-PBE calculation of a relaxed structure of Mn2CrMo, from Alexandria via LeMat-Bulk.

Summary:
The value obtained for the energy of formation is 0.6 eV/f.u. For the calculated total energy, the calculation gives -38.2 eV per cell. The calculation puts the density at 8593 kg/m³.

a = 4.121 Å, b = 4.121 Å, c = 2.934 Å
α = 90.00°, β = 90.00°, γ = 90.01°
Fractional positions:
Cr 0.000 0.500 0.500
Mn 0.000 0.000 0.000
Mn 0.500 0.500 0.000
Mo 0.500 0.000 0.500


The following is a GGA-PBE calculation of a relaxed structure of Mn4CrMo, from Alexandria via LeMat-Bulk.

Summary:
The value obtained for the energy of formation is 0.2 eV/f.u. For the calculated total energy, the calculation gives -56.9 eV per cell. The calculation puts the density at 8518 kg/m³.

a = 4.663 Å, b = 4.663 Å, c = 4.663 Å
α = 60.00°, β = 60.00°, γ = 60.00°
Fractional positions:
Cr 0.000 0.000 0.000
Mn 0.123 0.626 0.626
Mn 0.626 0.626 0.123
Mn 0.626 0.626 0.626
Mn 0.626 0.123 0.626
Mo 0.250 0.250 0.250


The following is a GGA-PBE calculation of a relaxed structure of MnCrMo2, from Alexandria via LeMat-Bulk.

Summary:
The value obtained for the energy of formation is 0.4 eV/f.u. For the calculated total energy, the calculation gives -40.0 eV per cell. The calculation puts the density at 8956 kg/m³.

a = 2.652 Å, b = 2.652 Å, c = 8.342 Å
α = 90.00°, β = 90.00°, γ = 109.16°
Fractional positions:
Cr 0.500 0.500 0.250
Mn 0.500 0.500 0.750
Mo 0.000 0.000 0.999
Mo 0.000 0.000 0.501


The following is a GGA-PBE calculation of a relaxed structure of MnCrMo2, from Alexandria via LeMat-Bulk.

Summary:
The value obtained for the energy of formation is 1.5 eV/f.u. For the calculated total energy, the calculation gives -39.0 eV per cell. The calculation puts the density at 8840 kg/m³.

a = 8.925 Å, b = 8.925 Å, c = 8.925 Å
α = 17.50°, β = 17.50°, γ = 17.50°
Fractional positions:
Cr 0.491 0.491 0.491
Mn 0.758 0.758 0.758
Mo 0.006 0.006 0.006
Mo 0.245 0.245 0.245


The following is a GGA-PBE calculation of a relaxed structure of MnCrMo2, from Alexandria via LeMat-Bulk.

Summary:
The value obtained for the energy of formation is 0.4 eV/f.u. For the calculated total energy, the calculation gives -40.1 eV per cell. The calculation puts the density at 9141 kg/m³.

a = 3.004 Å, b = 3.004 Å, c = 6.017 Å
α = 90.00°, β = 90.00°, γ = 90.00°
Fractional positions:
Cr 0.500 0.500 0.250
Mn 0.500 0.500 0.750
Mo 0.000 0.000 0.002
Mo 0.000 0.000 0.498